# GGA+U Sr2VNiO6, relaxed
data_Sr2VNiO6
_chemical_formula_sum 'Sr2 V1 Ni1 O6'
_cell_length_a 3.869
_cell_length_b 3.869
_cell_length_c 7.927
_cell_angle_alpha 90.00
_cell_angle_beta 90.00
_cell_angle_gamma 90.00
_symmetry_space_group_name_H-M 'P 4/m m m'
_symmetry_Int_Tables_number 123
_symmetry_space_group_name_Hall '-P 4 2'
loop_
_atom_site_label
_atom_site_type_symbol
_atom_site_fract_x
_atom_site_fract_y
_atom_site_fract_z
_atom_site_occupancy
Sr1 Sr 0.000 0.000 0.233 1
V1 V 0.500 0.500 0.500 1
Ni1 Ni 0.500 0.500 0.000 1
O1 O 0.000 0.500 0.000 1
O2 O 0.000 0.500 0.500 1
O3 O 0.500 0.500 0.268 1
# Total energy in eV for the cell shown: -63.79